1.
Crystalline SrCa2InRh at its relaxed geometry, computed with PBE.

Cell lengths 5.4689, 5.4689, 5.7653 Å; angles 90.00, 90.00, 90.00 degrees
Fractional positions:
1 Sr 0.0000 0.0000 0.5000
2 Ca 0.0000 0.5000 0.0000
3 Ca 0.5000 0.0000 0.0000
4 Rh 0.0000 0.0000 0.0000
5 In 0.5000 0.5000 0.5000

Output
As for the formation energy: -219 meV per atom. The value obtained for the distance to the lowest polymorph of the same formula is 91 meV per atom.

2.
Crystalline Na2Ga3Sn2 at its relaxed geometry, computed with PBE.

Cell lengths 4.4109, 6.4528, 7.0273 Å; angles 113.04, 90.00, 109.99 degrees
Fractional positions:
1 Na 0.8617 0.7235 0.2113
2 Na 0.1383 0.2765 0.7887
3 Ga 0.5000 0.0000 0.0000
4 Ga 0.5774 0.1548 0.4205
5 Ga 0.4226 0.8452 0.5795
6 Sn 0.8320 0.6640 0.7224
7 Sn 0.1680 0.3360 0.2776

Output
As for the formation energy: -128 meV per atom.

3.
Crystalline In5Ag2 at its relaxed geometry, computed with PBE.

Cell lengths 3.4644, 3.4644, 14.2345 Å; angles 96.99, 96.99, 90.00 degrees
Fractional positions:
1 In 0.1605 0.1605 0.3210
2 In 0.5814 0.5814 0.1628
3 In 0.0000 0.0000 0.0000
4 In 0.4186 0.4186 0.8372
5 In 0.8395 0.8395 0.6790
6 Ag 0.2775 0.2775 0.5550
7 Ag 0.7225 0.7225 0.4450

Output
As for the formation energy: 25 meV per atom.

4.
Crystalline DyGa3NiRh at its relaxed geometry, computed with PBE.

Cell lengths 5.4425, 7.7664, 6.5646 Å; angles 126.27, 90.00, 90.00 degrees
Fractional positions:
1 Dy 0.7500 0.2977 0.5954
2 Dy 0.2500 0.7023 0.4046
3 Ga 0.2500 0.1767 0.3534
4 Ga 0.0000 0.2496 0.0000
5 Ga 0.5000 0.7504 0.0000
6 Ga 0.5000 0.2496 0.0000
7 Ga 0.0000 0.7504 0.0000
8 Ga 0.7500 0.8233 0.6466
9 Ni 0.2500 0.9525 0.9050
10 Ni 0.7500 0.0475 0.0950
11 Rh 0.2500 0.4112 0.8225
12 Rh 0.7500 0.5888 0.1775

Output
As for the formation energy: -448 meV per atom.